The following is a DFT calculation (GGA-PBE) of Sm2Er3PuAs6 after structural relaxation.

- E_form: -1.428 eV per atom

a = 4.141 Å, b = 8.267 Å, c = 9.236 Å
α = 102.85°, β = 102.95°, γ = 90.00°
Each line ends with the local moment (μB).
Element x y z (fractional)
Sm  0.833  0.665  0.666  -0.01
Sm  0.167  0.335  0.334  -0.01
Pu  0.500  0.000  0.000  -5.01
As  0.333  0.922  0.667  0.04
As  0.998  0.249  0.996  0.07
As  0.002  0.751  0.004  0.07
As  0.335  0.412  0.670  0.01
As  0.665  0.588  0.330  0.01
As  0.667  0.078  0.333  0.04
Er  0.832  0.167  0.665  0.01
Er  0.500  0.500  0.000  0.03
Er  0.168  0.833  0.335  0.01

The following is a DFT calculation (GGA-PBE) of SmEr2PuAs4 after structural relaxation.

- E_form: -1.384 eV per atom

a = 4.136 Å, b = 7.139 Å, c = 7.149 Å
α = 70.52°, β = 90.00°, γ = 90.00°
Each line ends with the local moment (μB).
Element x y z (fractional)
Sm  0.500  0.500  0.000  0.02
Er  0.000  0.000  0.000  -0.04
Er  0.500  0.000  0.500  0.00
As  0.500  0.753  0.252  -0.07
As  0.500  0.247  0.748  -0.07
As  0.000  0.244  0.255  -0.04
As  0.000  0.756  0.745  -0.04
Pu  0.000  0.500  0.500  5.02

The following is a DFT calculation (GGA-PBE) of Sm2ErPuAs4 after structural relaxation.

- E_form: -1.387 eV per atom

a = 4.168 Å, b = 7.194 Å, c = 7.201 Å
α = 109.44°, β = 90.00°, γ = 90.00°
Each line ends with the local moment (μB).
Element x y z (fractional)
As  0.000  0.747  0.242  -0.04
As  0.500  0.753  0.758  -0.07
As  0.000  0.253  0.758  -0.04
As  0.500  0.247  0.242  -0.07
Sm  0.000  0.500  0.500  0.00
Sm  0.500  0.000  0.500  0.02
Pu  0.000  0.000  0.000  5.00
Er  0.500  0.500  0.000  0.01

The following is a DFT calculation (GGA-PBE) of TbErPu2As4 after structural relaxation.

- E_form: -1.274 eV per atom

a = 4.131 Å, b = 7.152 Å, c = 7.108 Å
α = 109.60°, β = 90.00°, γ = 90.00°
Each line ends with the local moment (μB).
Element x y z (fractional)
As  0.000  0.251  0.749  0.10
As  0.500  0.253  0.252  0.10
As  0.500  0.747  0.748  0.10
As  0.000  0.749  0.251  0.10
Pu  0.000  0.500  0.500  -5.00
Pu  0.500  0.000  0.500  -5.03
Er  0.500  0.500  0.000  0.04
Tb  0.000  0.000  0.000  0.02

The following is a DFT calculation (GGA-PBE) of ErPuTeAs after structural relaxation.

- Formation energy without anion corrections: -5.12 eV/f.u.

a = 4.224 Å, b = 4.224 Å, c = 7.458 Å
α = 73.55°, β = 73.55°, γ = 60.00°
Each line ends with the local moment (μB).
Element x y z (fractional)
Er  0.741  0.741  0.777  0.03
Te  0.498  0.498  0.506  -0.05
As  0.002  0.002  0.993  -0.06
Pu  0.259  0.259  0.224  5.38

The following is a DFT calculation (GGA-PBE) of Er3PuTh2As6 after structural relaxation.

- E_form: -1.405 eV per atom

a = 4.166 Å, b = 8.289 Å, c = 9.285 Å
α = 102.70°, β = 102.97°, γ = 90.00°
Each line ends with the local moment (μB).
Element x y z (fractional)
Er  0.167  0.834  0.333  -0.01
Er  0.833  0.166  0.667  -0.01
Er  0.500  0.500  0.000  0.00
As  0.332  0.923  0.664  0.02
As  0.668  0.077  0.336  0.02
As  0.335  0.411  0.670  0.00
As  0.003  0.749  0.006  0.05
As  0.997  0.251  0.994  0.05
As  0.665  0.589  0.330  0.00
Th  0.165  0.330  0.329  -0.04
Th  0.835  0.670  0.671  -0.04
Pu  0.500  0.000  0.000  -5.20

no.,M_tot (Bohr magnetons per cell)
1,4.87
2,4.93
3,4.93
4,9.90
5,5.66
6,5.53